a:
Here is a relaxed structure of LiFeRh2 from Alexandria. Energies are from PBE.

Properties
* magnetization: 0.6167 μB per atom

Lattice parameters (Å, degrees): 2.721 4.539 8.969 90.00 90.00 90.00
Positions (direct):
Li  0.000  0.000  0.000
Li  0.500  0.500  0.000
Fe  0.000  0.500  0.256
Fe  0.500  0.000  0.256
Rh  0.000  0.000  0.493
Rh  0.000  0.500  0.757
Rh  0.500  0.000  0.757
Rh  0.500  0.500  0.493

---

b:
Here is a relaxed structure of LiFeRh2 from Alexandria. Energies are from PBE.

Properties
* magnetization: 1.0221 μB per atom

Lattice parameters (Å, degrees): 3.079 3.079 5.543 90.00 90.00 90.00
Positions (direct):
Li  0.000  0.000  0.000
Fe  0.500  0.500  0.755
Rh  0.000  0.000  0.522
Rh  0.500  0.500  0.212

---

It is b that is most stable; the runner-up trails by 60 meV per atom.

---

a:
Here is a relaxed structure of Li2Fe2Rh from Alexandria. Energies are from PBE.

Properties
* magnetization: 0.0000 μB per atom

Lattice parameters (Å, degrees): 3.192 3.192 11.554 90.00 90.00 90.00
Positions (direct):
Li  0.000  0.000  0.091
Li  0.000  0.000  0.909
Li  0.500  0.500  0.409
Li  0.500  0.500  0.591
Fe  0.000  0.500  0.250
Fe  0.000  0.500  0.750
Fe  0.500  0.000  0.250
Fe  0.500  0.000  0.750
Rh  0.000  0.000  0.500
Rh  0.500  0.500  0.000

---

b:
Here is a relaxed structure of Li2Fe2Rh from Alexandria. Energies are from PBE.

Properties
* magnetization: 1.0645 μB per atom

Lattice parameters (Å, degrees): 6.547 6.547 2.774 90.00 90.00 90.00
Positions (direct):
Li  0.120  0.380  0.000
Li  0.380  0.880  0.000
Li  0.620  0.120  0.000
Li  0.880  0.620  0.000
Fe  0.184  0.684  0.500
Fe  0.316  0.184  0.500
Fe  0.684  0.816  0.500
Fe  0.816  0.316  0.500
Rh  0.000  0.000  0.000
Rh  0.500  0.500  0.000

---

It is b that is most stable; the runner-up trails by 277 meV per atom.

---

a:
Here is a relaxed structure of LiFeRu2 from Alexandria. Energies are from PBE.

Properties
* magnetization: 0.5719 μB per atom

Lattice parameters (Å, degrees): 2.678 2.678 26.547 90.00 90.00 120.00
Positions (direct):
Li  0.000  0.000  0.000
Li  0.333  0.667  0.667
Li  0.667  0.333  0.333
Fe  0.000  0.000  0.752
Fe  0.333  0.667  0.419
Fe  0.667  0.333  0.086
Ru  0.000  0.000  0.246
Ru  0.000  0.000  0.499
Ru  0.333  0.667  0.166
Ru  0.333  0.667  0.913
Ru  0.667  0.333  0.579
Ru  0.667  0.333  0.832

---

b:
Here is a relaxed structure of LiFeRu2 from Alexandria. Energies are from PBE.

Properties
* magnetization: 0.2350 μB per atom

Lattice parameters (Å, degrees): 6.911 6.911 4.866 90.00 90.00 90.00
Positions (direct):
Li  0.000  0.000  0.000
Li  0.000  0.500  0.250
Li  0.500  0.000  0.750
Li  0.500  0.500  0.500
Fe  0.000  0.000  0.500
Fe  0.000  0.500  0.750
Fe  0.500  0.000  0.250
Fe  0.500  0.500  0.000
Ru  0.194  0.250  0.625
Ru  0.250  0.694  0.875
Ru  0.250  0.806  0.375
Ru  0.306  0.250  0.125
Ru  0.694  0.750  0.125
Ru  0.750  0.194  0.375
Ru  0.750  0.306  0.875
Ru  0.806  0.750  0.625

---

c:
Here is a relaxed structure of LiFeRu2 from Alexandria. Energies are from PBE.

Properties
* magnetization: 0.5333 μB per atom

Lattice parameters (Å, degrees): 5.833 5.833 5.833 90.00 90.00 90.00
Positions (direct):
Li  0.000  0.000  0.000
Li  0.000  0.500  0.500
Li  0.500  0.000  0.500
Li  0.500  0.500  0.000
Fe  0.000  0.000  0.500
Fe  0.000  0.500  0.000
Fe  0.500  0.000  0.000
Fe  0.500  0.500  0.500
Ru  0.250  0.250  0.250
Ru  0.250  0.250  0.750
Ru  0.250  0.750  0.250
Ru  0.250  0.750  0.750
Ru  0.750  0.250  0.250
Ru  0.750  0.250  0.750
Ru  0.750  0.750  0.250
Ru  0.750  0.750  0.750

---

d:
Here is a relaxed structure of LiFeRu2 from Alexandria. Energies are from PBE.

Properties
* magnetization: 0.4261 μB per atom

Lattice parameters (Å, degrees): 2.600 2.600 7.891 90.00 90.00 90.00
Positions (direct):
Li  0.000  0.000  0.000
Fe  0.000  0.000  0.500
Ru  0.500  0.500  0.269
Ru  0.500  0.500  0.731

---

It is c that is most stable; the runner-up trails by 18 meV per atom.

---

a:
Here is a relaxed structure of LiFeRu2 from Alexandria. Energies are from PBE.

Properties
* magnetization: 0.7015 μB per atom

Lattice parameters (Å, degrees): 2.677 2.677 7.645 90.00 90.00 90.00
Positions (direct):
Li  0.000  0.000  0.000
Fe  0.500  0.500  0.741
Ru  0.000  0.000  0.497
Ru  0.500  0.500  0.260

---

b:
Here is a relaxed structure of LiFeRu2 from Alexandria. Energies are from PBE.

Properties
* magnetization: 0.6026 μB per atom

Lattice parameters (Å, degrees): 2.769 4.447 8.974 90.00 90.00 90.00
Positions (direct):
Li  0.000  0.000  0.000
Li  0.500  0.500  0.000
Fe  0.000  0.500  0.746
Fe  0.500  0.000  0.746
Ru  0.000  0.000  0.508
Ru  0.000  0.500  0.255
Ru  0.500  0.000  0.255
Ru  0.500  0.500  0.508

---

c:
Here is a relaxed structure of LiFeRu2 from Alexandria. Energies are from PBE.

Properties
* magnetization: 0.6409 μB per atom

Lattice parameters (Å, degrees): 8.820 2.636 4.553 90.00 98.48 90.00
Positions (direct):
Li  0.000  0.000  0.000
Li  0.500  0.500  0.000
Fe  0.247  0.000  0.789
Fe  0.747  0.500  0.789
Ru  0.002  0.500  0.499
Ru  0.257  0.500  0.291
Ru  0.502  0.000  0.499
Ru  0.757  0.000  0.291

---

d:
Here is a relaxed structure of LiFeRu2 from Alexandria. Energies are from PBE.

Properties
* magnetization: 0.7166 μB per atom

Lattice parameters (Å, degrees): 2.793 4.414 8.797 90.00 90.00 90.00
Positions (direct):
Li  0.000  0.000  0.000
Li  0.500  0.500  0.000
Fe  0.000  0.000  0.500
Fe  0.500  0.500  0.500
Ru  0.000  0.500  0.260
Ru  0.000  0.500  0.740
Ru  0.500  0.000  0.260
Ru  0.500  0.000  0.740

---

It is c that is most stable; the runner-up trails by 18 meV per atom.

---

a:
Here is a relaxed structure of LiZr2FeRu from Alexandria. Energies are from PBE.

Properties
* magnetization: 0.0000 μB per atom

Lattice parameters (Å, degrees): 4.713 4.713 3.669 90.00 90.00 90.00
Positions (direct):
Li  0.000  0.000  0.000
Zr  0.000  0.500  0.000
Zr  0.500  0.000  0.000
Fe  0.000  0.000  0.500
Ru  0.500  0.500  0.500

---

b:
Here is a relaxed structure of LiZr2FeRu from Alexandria. Energies are from PBE.

Properties
* magnetization: 0.0000 μB per atom

Lattice parameters (Å, degrees): 4.703 4.703 4.090 90.00 90.00 90.00
Positions (direct):
Li  0.000  0.000  0.000
Zr  0.000  0.500  0.500
Zr  0.500  0.000  0.500
Fe  0.000  0.000  0.500
Ru  0.500  0.500  0.000

---

It is b that is most stable; the runner-up trails by 150 meV per atom.

---

a:
Here is a relaxed structure of Li3FeS3 from Alexandria. Energies are from PBE.

Properties
* magnetization: 0.5750 μB per atom

Lattice parameters (Å, degrees): 6.626 6.343 12.957 90.00 117.34 90.00
Positions (direct):
Li  0.034  0.013  0.287
Li  0.034  0.487  0.787
Li  0.414  0.004  0.609
Li  0.414  0.496  0.109
Li  0.462  0.001  0.116
Li  0.462  0.499  0.616
Li  0.538  0.501  0.384
Li  0.538  0.999  0.884
Li  0.586  0.504  0.891
Li  0.586  0.996  0.391
Li  0.966  0.513  0.213
Li  0.966  0.987  0.713
Fe  0.006  0.136  0.927
Fe  0.006  0.364  0.427
Fe  0.994  0.636  0.573
Fe  0.994  0.864  0.073
S  0.006  0.715  0.408
S  0.006  0.785  0.908
S  0.307  0.747  0.728
S  0.307  0.753  0.228
S  0.328  0.241  0.437
S  0.328  0.259  0.937
S  0.672  0.741  0.063
S  0.672  0.759  0.563
S  0.693  0.247  0.772
S  0.693  0.253  0.272
S  0.994  0.215  0.092
S  0.994  0.285  0.592

---

b:
Here is a relaxed structure of Li3FeS3 from Alexandria. Energies are from PBE.

Properties
* magnetization: 0.5714 μB per atom

Lattice parameters (Å, degrees): 6.679 6.679 6.318 95.75 95.75 116.36
Positions (direct):
Li  0.177  0.823  0.000
Li  0.242  0.758  0.500
Li  0.430  0.430  0.179
Li  0.570  0.570  0.821
Li  0.758  0.242  0.500
Li  0.823  0.177  0.000
Fe  0.171  0.171  0.633
Fe  0.829  0.829  0.367
S  0.120  0.120  0.268
S  0.162  0.487  0.758
S  0.487  0.162  0.758
S  0.513  0.838  0.242
S  0.838  0.513  0.242
S  0.880  0.880  0.732

---

c:
Here is a relaxed structure of Li3FeS3 from Alexandria. Energies are from PBE.

Properties
* magnetization: 0.5692 μB per atom

Lattice parameters (Å, degrees): 6.529 12.959 6.738 90.00 116.12 90.00
Positions (direct):
Li  0.088  0.186  0.224
Li  0.088  0.314  0.724
Li  0.279  0.556  0.957
Li  0.279  0.944  0.457
Li  0.328  0.719  0.661
Li  0.328  0.781  0.161
Li  0.672  0.219  0.839
Li  0.672  0.281  0.339
Li  0.721  0.056  0.543
Li  0.721  0.444  0.043
Li  0.912  0.686  0.276
Li  0.912  0.814  0.776
Fe  0.336  0.067  0.853
Fe  0.336  0.433  0.353
Fe  0.664  0.567  0.647
Fe  0.664  0.933  0.147
S  0.027  0.143  0.846
S  0.027  0.357  0.346
S  0.332  0.610  0.343
S  0.332  0.890  0.843
S  0.379  0.121  0.559
S  0.379  0.379  0.059
S  0.621  0.621  0.941
S  0.621  0.879  0.441
S  0.668  0.110  0.157
S  0.668  0.390  0.657
S  0.973  0.643  0.654
S  0.973  0.857  0.154

---

It is a that is most stable; the runner-up trails by 30 meV per atom.

---

a:
Here is a relaxed structure of LiFe2Sb2 from Alexandria. Energies are from PBE.

Properties
* magnetization: 0.8814 μB per atom

Lattice parameters (Å, degrees): 3.452 3.452 16.443 90.00 90.00 90.00
Positions (direct):
Li  0.000  0.000  0.000
Li  0.500  0.500  0.500
Fe  0.000  0.500  0.250
Fe  0.000  0.500  0.750
Fe  0.500  0.000  0.250
Fe  0.500  0.000  0.750
Sb  0.000  0.000  0.374
Sb  0.000  0.000  0.626
Sb  0.500  0.500  0.126
Sb  0.500  0.500  0.874

---

b:
Here is a relaxed structure of LiFe2Sb2 from Alexandria. Energies are from PBE.

Properties
* magnetization: 0.0000 μB per atom

Lattice parameters (Å, degrees): 7.291 7.291 3.022 90.00 90.00 90.00
Positions (direct):
Li  0.000  0.000  0.000
Li  0.500  0.500  0.000
Fe  0.133  0.367  0.000
Fe  0.367  0.867  0.000
Fe  0.633  0.133  0.000
Fe  0.867  0.633  0.000
Sb  0.163  0.663  0.500
Sb  0.337  0.163  0.500
Sb  0.663  0.837  0.500
Sb  0.837  0.337  0.500

---

It is a that is most stable; the runner-up trails by 124 meV per atom.

---

a:
Here is a relaxed structure of Li2FeSb2 from Alexandria. Energies are from PBE.

Properties
* magnetization: 0.3266 μB per atom

Lattice parameters (Å, degrees): 6.707 6.707 4.452 90.00 90.00 90.00
Positions (direct):
Li  0.162  0.338  0.000
Li  0.338  0.838  0.000
Li  0.662  0.162  0.000
Li  0.838  0.662  0.000
Fe  0.000  0.000  0.500
Fe  0.500  0.500  0.500
Sb  0.154  0.654  0.500
Sb  0.346  0.154  0.500
Sb  0.654  0.846  0.500
Sb  0.846  0.346  0.500

---

b:
Here is a relaxed structure of Li2FeSb2 from Alexandria. Energies are from PBE.

Properties
* magnetization: 0.5019 μB per atom

Lattice parameters (Å, degrees): 3.464 3.464 15.492 90.00 90.00 90.00
Positions (direct):
Li  0.000  0.500  0.250
Li  0.000  0.500  0.750
Li  0.500  0.000  0.250
Li  0.500  0.000  0.750
Fe  0.000  0.000  0.000
Fe  0.500  0.500  0.500
Sb  0.000  0.000  0.398
Sb  0.000  0.000  0.602
Sb  0.500  0.500  0.102
Sb  0.500  0.500  0.898

---

It is a that is most stable; the runner-up trails by 288 meV per atom.